First-principles (PBE-GGA) data for a geometry-optimized Pm12Hg5Ir3 structure, as listed in Alexandria via LeMat-Bulk.

Output
The space-group type is Ia-3d. The value obtained for the total energy is -344.97 eV for the cell shown. For the energy of formation, the calculation gives -57 meV per atom.

Cell: 15.1083 15.1083 15.1083 Å, 109.47 109.47 109.47°
Closest atoms and distances in Å follow each position.
Sites, in units of the cell vectors:
Ir 0.7500 0.3750 0.1250  4 Pm 2.91
Ir 0.8750 0.7500 0.1250  4 Pm 2.91
Ir 0.3750 0.7500 0.6250  4 Pm 2.91
Ir 0.2500 0.1250 0.3750  4 Pm 2.91
Ir 0.8750 0.1250 0.2500  4 Pm 2.91
Ir 0.3750 0.6250 0.2500  4 Pm 2.91
Ir 0.6250 0.3750 0.7500  4 Pm 2.91
Ir 0.1250 0.8750 0.7500  4 Pm 2.91
Ir 0.7500 0.8750 0.6250  4 Pm 2.91
Ir 0.6250 0.2500 0.3750  4 Pm 2.91
Ir 0.1250 0.2500 0.8750  4 Pm 2.91
Ir 0.2500 0.6250 0.8750  4 Pm 2.91
Hg 0.1250 0.3750 0.2500  4 Pm 2.97
Hg 0.0000 0.5000 0.0000  6 Pm 3.04
Hg 0.0000 0.0000 0.0000  6 Pm 3.04
Hg 0.3750 0.2500 0.1250  4 Pm 2.97
Hg 0.5000 0.0000 0.5000  6 Pm 3.04
Hg 0.5000 0.5000 0.0000  6 Pm 3.04
Hg 0.1250 0.7500 0.3750  4 Pm 2.97
Hg 0.7500 0.1250 0.8750  4 Pm 2.97
Hg 0.7500 0.6250 0.3750  4 Pm 2.97
Hg 0.3750 0.1250 0.7500  4 Pm 2.97
Hg 0.6250 0.8750 0.2500  4 Pm 2.97
Hg 0.5000 0.5000 0.5000  6 Pm 3.04
Hg 0.5000 0.0000 0.0000  6 Pm 3.04
Hg 0.0000 0.0000 0.5000  6 Pm 3.04
Hg 0.2500 0.3750 0.6250  4 Pm 2.97
Hg 0.2500 0.8750 0.1250  4 Pm 2.97
Hg 0.0000 0.5000 0.5000  6 Pm 3.04
Hg 0.8750 0.2500 0.6250  4 Pm 2.97
Hg 0.6250 0.7500 0.8750  4 Pm 2.97
Hg 0.8750 0.6250 0.7500  4 Pm 2.97
Pm 0.7365 0.1332 0.0692  1 Ir 2.91, 2 Hg 2.97-3.04, 1 Pm 3.18
Pm 0.3327 0.5692 0.4360  1 Ir 2.91, 2 Hg 2.97-3.04, 1 Pm 3.18
Pm 0.9308 0.3668 0.2635  1 Ir 2.91, 2 Hg 2.97-3.04, 1 Pm 3.18
Pm 0.5692 0.2365 0.1332  1 Ir 2.91, 2 Hg 2.97-3.04, 1 Pm 3.18
Pm 0.6033 0.7365 0.6673  1 Ir 2.91, 2 Hg 2.97-3.04, 1 Pm 3.18
Pm 0.9308 0.5639 0.1673  1 Ir 2.91, 2 Hg 2.97-3.04, 1 Pm 3.18
Pm 0.3327 0.7635 0.3967  1 Ir 2.91, 2 Hg 2.97-3.04, 1 Pm 3.18
Pm 0.0640 0.8967 0.1332  1 Ir 2.91, 2 Hg 2.97-3.04, 1 Pm 3.18
Pm 0.5639 0.9308 0.6673  1 Ir 2.91, 2 Hg 2.97-3.04, 1 Pm 3.18
Pm 0.7365 0.6033 0.1673  1 Ir 2.91, 2 Hg 2.97-3.04, 1 Pm 3.18
Pm 0.7635 0.4308 0.3668  1 Ir 2.91, 2 Hg 2.97-3.04, 1 Pm 3.18
Pm 0.8327 0.9360 0.0692  1 Ir 2.91, 2 Hg 2.97-3.04, 1 Pm 3.18
Pm 0.1332 0.7365 0.5692  1 Ir 2.91, 2 Hg 2.97-3.04, 1 Pm 3.18
Pm 0.3668 0.4360 0.1033  1 Ir 2.91, 2 Hg 2.97-3.04, 1 Pm 3.18
Pm 0.1033 0.9360 0.3668  1 Ir 2.91, 2 Hg 2.97-3.04, 1 Pm 3.18
Pm 0.3967 0.1332 0.5639  1 Ir 2.91, 2 Hg 2.97-3.04, 1 Pm 3.18
Pm 0.1033 0.1673 0.2365  1 Ir 2.91, 2 Hg 2.97-3.04, 1 Pm 3.18
Pm 0.4308 0.6673 0.0640  1 Ir 2.91, 2 Hg 2.97-3.04, 1 Pm 3.18
Pm 0.8327 0.8967 0.2635  1 Ir 2.91, 2 Hg 2.97-3.04, 1 Pm 3.18
Pm 0.1332 0.3967 0.0640  1 Ir 2.91, 2 Hg 2.97-3.04, 1 Pm 3.18
Pm 0.3668 0.9308 0.7635  1 Ir 2.91, 2 Hg 2.97-3.04, 1 Pm 3.18
Pm 0.5639 0.6332 0.3967  1 Ir 2.91, 2 Hg 2.97-3.04, 1 Pm 3.18
Pm 0.9360 0.8327 0.5692  1 Ir 2.91, 2 Hg 2.97-3.04, 1 Pm 3.18
Pm 0.7635 0.3327 0.8967  1 Ir 2.91, 2 Hg 2.97-3.04, 1 Pm 3.18
Pm 0.4360 0.3668 0.6033  1 Ir 2.91, 2 Hg 2.97-3.04, 1 Pm 3.18
Pm 0.0640 0.1673 0.4308  1 Ir 2.91, 2 Hg 2.97-3.04, 1 Pm 3.18
Pm 0.2365 0.6673 0.1033  1 Ir 2.91, 2 Hg 2.97-3.04, 1 Pm 3.18
Pm 0.1673 0.1033 0.7365  1 Ir 2.91, 2 Hg 2.97-3.04, 1 Pm 3.18
Pm 0.6332 0.0692 0.2365  1 Ir 2.91, 2 Hg 2.97-3.04, 1 Pm 3.18
Pm 0.8668 0.6033 0.9360  1 Ir 2.91, 2 Hg 2.97-3.04, 1 Pm 3.18
Pm 0.5692 0.3327 0.9360  1 Ir 2.91, 2 Hg 2.97-3.04, 1 Pm 3.18
Pm 0.6033 0.8668 0.4360  1 Ir 2.91, 2 Hg 2.97-3.04, 1 Pm 3.18
Pm 0.8967 0.8327 0.7635  1 Ir 2.91, 2 Hg 2.97-3.04, 1 Pm 3.18
Pm 0.8967 0.0640 0.6332  1 Ir 2.91, 2 Hg 2.97-3.04, 1 Pm 3.18
Pm 0.8668 0.2635 0.4308  1 Ir 2.91, 2 Hg 2.97-3.04, 1 Pm 3.18
Pm 0.1673 0.0640 0.9308  1 Ir 2.91, 2 Hg 2.97-3.04, 1 Pm 3.18
Pm 0.6332 0.5639 0.8967  1 Ir 2.91, 2 Hg 2.97-3.04, 1 Pm 3.18
Pm 0.4360 0.0692 0.3327  1 Ir 2.91, 2 Hg 2.97-3.04, 1 Pm 3.18
Pm 0.2635 0.3967 0.8327  1 Ir 2.91, 2 Hg 2.97-3.04, 1 Pm 3.18
Pm 0.2365 0.5692 0.6332  1 Ir 2.91, 2 Hg 2.97-3.04, 1 Pm 3.18
Pm 0.9360 0.1033 0.8668  1 Ir 2.91, 2 Hg 2.97-3.04, 1 Pm 3.18
Pm 0.6673 0.2365 0.6033  1 Ir 2.91, 2 Hg 2.97-3.04, 1 Pm 3.18
Pm 0.4308 0.7635 0.8668  1 Ir 2.91, 2 Hg 2.97-3.04, 1 Pm 3.18
Pm 0.0692 0.4360 0.8327  1 Ir 2.91, 2 Hg 2.97-3.04, 1 Pm 3.18
Pm 0.3967 0.2635 0.3327  1 Ir 2.91, 2 Hg 2.97-3.04, 1 Pm 3.18
Pm 0.0692 0.6332 0.7365  1 Ir 2.91, 2 Hg 2.97-3.04, 1 Pm 3.18
Pm 0.6673 0.4308 0.5639  1 Ir 2.91, 2 Hg 2.97-3.04, 1 Pm 3.18
Pm 0.2635 0.8668 0.9308  1 Ir 2.91, 2 Hg 2.97-3.04, 1 Pm 3.18